CsF: relaxed, PBE.

Structure (extended XYZ):
```
8
Lattice="-4.534 4.534 4.534 4.534 -4.534 4.534 4.534 4.534 -4.534" Properties=species:S:1:pos:R:3 pbc="T T T"
Cs 1.483 1.483 -1.483
Cs 1.483 -1.483 1.483
Cs -1.483 1.483 1.483
Cs 3.051 3.051 3.051
F 3.121 3.121 -3.121
F 3.121 -3.121 3.121
F 1.414 1.414 1.414
F -3.121 3.121 3.121
```

Output
The uncorrected formation energy is -2580 meV per atom. The calculation puts the spin magnetization at 0.00 μB per atom. The density of states at the Fermi level comes out at 0.000 states/eV per atom. For the total DFT energy (no corrections), the calculation gives -3.94 eV/atom.

---

CsF: relaxed, PBE.

Structure (extended XYZ):
```
2
Lattice="0.000 3.050 3.050 3.050 0.000 3.050 3.050 3.050 0.000" Properties=species:S:1:pos:R:3 pbc="T T T"
Cs 0.000 0.000 0.000
F 3.050 3.050 3.050
```

Output
The uncorrected formation energy is -2651 meV per atom. The calculation puts the spin magnetization at 0.00 μB per atom. The density of states at the Fermi level comes out at 0.000 states/eV per atom. For the total DFT energy (no corrections), the calculation gives -4.01 eV/atom.